1.
## TbPr6SmY2 (PBE)

Data for TbPr6SmY2 after structural relaxation. Values from VASP.

Cell and atoms, written as Quantum ESPRESSO input:
```
&SYSTEM
  ibrav = 0, nat = 20, ntyp = 4
/
ATOMIC_SPECIES
Tb 158.93 Tb.upf
Pr 140.91 Pr.upf
Sm 150.36 Sm.upf
Y 88.91 Y.upf
ATOMIC_POSITIONS angstrom
Tb -0.476 -3.467 -8.075
Tb -10.587 0.593 2.569
Pr -4.553 -2.874 3.615
Pr -7.735 -1.813 1.835
Pr -6.511 -0.001 -9.121
Pr -3.329 -1.061 -7.341
Pr -3.170 -4.632 -6.028
Pr -0.508 -1.762 -4.930
Pr -7.894 1.758 0.522
Pr -10.556 -1.113 -0.577
Pr -2.512 -4.475 -2.789
Pr -3.540 -1.448 -3.643
Pr -8.551 1.601 -2.718
Pr -7.524 -1.427 -1.863
Sm -4.465 -2.676 -0.475
Sm -6.599 -0.198 -5.032
Y -5.933 -3.890 -3.525
Y -1.033 -1.852 -1.166
Y -5.131 1.016 -1.981
Y -10.031 -1.023 -4.340
CELL_PARAMETERS angstrom
-6.863 5.471 -4.170
1.470 -4.881 -7.473
-5.671 -3.464 6.137
```

Results
Its formation energy from the elements is 0.115 eV/atom. Its density of states at the Fermi level is 15.26 states/eV/f.u. The total DFT energy (no corrections) comes out at -4.981 eV/atom. As for the total moment: 0.00 μB per cell.

---

2.
## CaSm2Sn9 (PBE)

Data for CaSm2Sn9 after structural relaxation. Values from VASP.

Cell and atoms, written as Quantum ESPRESSO input:
```
&SYSTEM
  ibrav = 0, nat = 12, ntyp = 3
/
ATOMIC_SPECIES
Ca 40.08 Ca.upf
Sm 150.36 Sm.upf
Sn 118.71 Sn.upf
ATOMIC_POSITIONS angstrom
Ca 0.000 0.000 0.000
Sm 0.000 0.000 4.662
Sm 0.000 0.000 9.202
Sn 2.412 2.412 0.000
Sn 2.412 2.412 4.609
Sn 2.412 2.412 9.255
Sn 2.412 0.000 2.305
Sn 2.412 0.000 6.932
Sn 2.412 0.000 11.559
Sn 0.000 2.412 2.305
Sn 0.000 2.412 6.932
Sn 0.000 2.412 11.559
CELL_PARAMETERS angstrom
4.824 0.000 0.000
0.000 4.824 0.000
0.000 0.000 13.864
```

Results
Its formation energy from the elements is -0.449 eV/atom. Its density of states at the Fermi level is 5.27 states/eV/f.u. The total DFT energy (no corrections) comes out at -4.405 eV/atom. As for the total moment: 0.00 μB per cell.

---

3.
## CdNiPb2 (PBE)

Data for CdNiPb2 after structural relaxation. Values from VASP.

Cell and atoms, written as Quantum ESPRESSO input:
```
&SYSTEM
  ibrav = 0, nat = 4, ntyp = 3
/
ATOMIC_SPECIES
Cd 112.41 Cd.upf
Ni 58.69 Ni.upf
Pb 207.20 Pb.upf
ATOMIC_POSITIONS angstrom
Cd 0.000 0.000 5.000
Ni 1.633 1.633 6.504
Pb 0.000 0.000 8.207
Pb 1.633 1.633 2.497
CELL_PARAMETERS angstrom
3.265 0.000 0.000
0.000 3.265 0.000
0.000 0.000 8.883
```

Results
Its formation energy from the elements is 0.108 eV/atom. The energy relative to the lowest polymorph listed for this composition is 1 meV/atom. Its density of states at the Fermi level is 2.46 states/eV/f.u. The total DFT energy (no corrections) comes out at -3.420 eV/atom. As for the total moment: 0.00 μB per cell.

---

4.
## CaBe2Ir (PBE)

Data for CaBe2Ir after structural relaxation. Values from VASP.

Cell and atoms, written as Quantum ESPRESSO input:
```
&SYSTEM
  ibrav = 0, nat = 4, ntyp = 3
/
ATOMIC_SPECIES
Be 9.01 Be.upf
Ca 40.08 Ca.upf
Ir 192.22 Ir.upf
ATOMIC_POSITIONS angstrom
Be 0.000 0.000 0.000
Be 0.071 -2.392 1.844
Ca -1.927 -1.787 0.230
Ir -0.921 -0.030 2.472
CELL_PARAMETERS angstrom
-0.936 -4.150 -0.398
1.077 -0.635 4.086
-2.919 0.576 0.859
```

Results
Its formation energy from the elements is 0.313 eV/atom. The energy relative to the lowest polymorph listed for this composition is 686 meV/atom. Its density of states at the Fermi level is 2.62 states/eV/f.u. The total DFT energy (no corrections) comes out at -4.265 eV/atom. As for the total moment: 0.00 μB per cell.

---

5.
## CaBeSeN2 (PBE)

Data for CaBeSeN2 after structural relaxation. Values from VASP.

Cell and atoms, written as Quantum ESPRESSO input:
```
&SYSTEM
  ibrav = 0, nat = 5, ntyp = 4
/
ATOMIC_SPECIES
Be 9.01 Be.upf
Ca 40.08 Ca.upf
Se 78.96 Se.upf
N 14.01 N.upf
ATOMIC_POSITIONS angstrom
Be 1.248 2.993 2.824
Ca 0.000 0.000 0.000
Se 2.181 2.003 0.019
N 0.479 -0.541 2.083
N -1.412 1.531 0.722
CELL_PARAMETERS angstrom
-2.824 3.062 1.445
0.957 -1.082 4.165
4.363 4.006 0.038
```

Results
The energy relative to the lowest polymorph listed for this composition is 1159 meV/atom. Its density of states at the Fermi level is 1.80 states/eV/f.u. The total DFT energy (no corrections) comes out at -3.551 eV/atom. Its formation energy without anion corrections is 782 kJ/mol of formula units. As for the total moment: 4.30 μB per cell.

---

6.
## Li2Cd3Ag4 (PBE)

Data for Li2Cd3Ag4 after structural relaxation. Values from VASP.

Cell and atoms, written as Quantum ESPRESSO input:
```
&SYSTEM
  ibrav = 0, nat = 9, ntyp = 3
/
ATOMIC_SPECIES
Li 6.94 Li.upf
Cd 112.41 Cd.upf
Ag 107.87 Ag.upf
ATOMIC_POSITIONS angstrom
Li -2.432 -5.388 -2.805
Li -1.084 -1.527 2.266
Cd -1.444 -4.385 2.053
Cd -2.071 -2.529 -2.592
Cd 0.000 0.000 0.000
Ag -2.736 -1.104 -0.044
Ag -3.175 -4.029 -0.358
Ag -0.779 -5.811 -0.495
Ag -0.340 -2.886 -0.182
CELL_PARAMETERS angstrom
-3.417 0.246 2.490
-3.764 -1.958 -4.972
3.666 -5.203 1.942
```

Results
Its formation energy from the elements is -0.143 eV/atom. The energy relative to the lowest polymorph listed for this composition is 22 meV/atom. Its density of states at the Fermi level is 3.05 states/eV/f.u. The total DFT energy (no corrections) comes out at -2.140 eV/atom. As for the total moment: 0.00 μB per cell.

---

7.
## PrDy3Al2 (PBE)

Data for PrDy3Al2 after structural relaxation. Values from VASP.

Cell and atoms, written as Quantum ESPRESSO input:
```
&SYSTEM
  ibrav = 0, nat = 6, ntyp = 3
/
ATOMIC_SPECIES
Pr 140.91 Pr.upf
Dy 162.50 Dy.upf
Al 26.98 Al.upf
ATOMIC_POSITIONS angstrom
Pr 1.784 1.784 6.332
Dy 0.000 0.000 0.000
Dy 0.000 0.000 8.977
Dy 0.000 0.000 3.687
Al 1.784 1.784 10.802
Al 1.784 1.784 1.861
CELL_PARAMETERS angstrom
3.569 0.000 0.000
0.000 3.569 0.000
0.000 0.000 12.663
```

Results
Its formation energy from the elements is -0.256 eV/atom. The energy relative to the lowest polymorph listed for this composition is 0 meV/atom. Its density of states at the Fermi level is 5.13 states/eV/f.u. The total DFT energy (no corrections) comes out at -4.601 eV/atom. As for the total moment: 0.00 μB per cell.

---

8.
## BRhI2O (PBE)

Data for BRhI2O after structural relaxation. Values from VASP.

Cell and atoms, written as Quantum ESPRESSO input:
```
&SYSTEM
  ibrav = 0, nat = 5, ntyp = 4
/
ATOMIC_SPECIES
I 126.90 I.upf
B 10.81 B.upf
Rh 102.91 Rh.upf
O 16.00 O.upf
ATOMIC_POSITIONS angstrom
I 0.000 2.795 0.000
I 2.795 0.000 0.000
B 2.795 2.795 1.875
Rh 0.000 0.000 0.000
O 0.000 0.000 1.875
CELL_PARAMETERS angstrom
5.591 0.000 0.000
0.000 5.591 0.000
0.000 0.000 3.751
```

Results
The energy relative to the lowest polymorph listed for this composition is 434 meV/atom. Its density of states at the Fermi level is 2.53 states/eV/f.u. The total DFT energy (no corrections) comes out at -3.692 eV/atom. Its formation energy without anion corrections is 350 kJ/mol of formula units. As for the total moment: 0.00 μB per cell.

---

Please write out number 7 again, unchanged.
## PrDy3Al2 (PBE)

Data for PrDy3Al2 after structural relaxation. Values from VASP.

Cell and atoms, written as Quantum ESPRESSO input:
```
&SYSTEM
  ibrav = 0, nat = 6, ntyp = 3
/
ATOMIC_SPECIES
Pr 140.91 Pr.upf
Dy 162.50 Dy.upf
Al 26.98 Al.upf
ATOMIC_POSITIONS angstrom
Pr 1.784 1.784 6.332
Dy 0.000 0.000 0.000
Dy 0.000 0.000 8.977
Dy 0.000 0.000 3.687
Al 1.784 1.784 10.802
Al 1.784 1.784 1.861
CELL_PARAMETERS angstrom
3.569 0.000 0.000
0.000 3.569 0.000
0.000 0.000 12.663
```

Results
Its formation energy from the elements is -0.256 eV/atom. The energy relative to the lowest polymorph listed for this composition is 0 meV/atom. Its density of states at the Fermi level is 5.13 states/eV/f.u. The total DFT energy (no corrections) comes out at -4.601 eV/atom. As for the total moment: 0.00 μB per cell.